[1]
Material: LiLa2Pt
Method: DFT, PBE-GGA
State: relaxed

The structure in CIF format:
```
data_LiLa2Pt
_chemical_formula_sum 'Li1 La2 Pt1'
_space_group_name_H-M_alt 'P 1'
_space_group_IT_number 1
_space_group_name_Hall 'P 1'
_cell_length_a 3.713
_cell_length_b 3.713
_cell_length_c 7.430
_cell_angle_alpha 90.00
_cell_angle_beta 90.00
_cell_angle_gamma 90.00
loop_
_atom_site_label
_atom_site_type_symbol
_atom_site_fract_x
_atom_site_fract_y
_atom_site_fract_z
_atom_site_occupancy
La1 La 0.500 0.500 0.300 1
Pt1 Pt 0.500 0.500 0.712 1
La2 La 0.000 0.000 0.932 1
Li1 Li 0.000 0.000 0.555 1
```

Summary:
Symmetry   P4mm, No. 99
Magnetization   0.4 μB per formula unit
E_form   -412 meV per atom
Calculated volume   25.605 A^3/atom
Density of states at the Fermi level   3.65 states/eV per cell


[2]
Material: LiLa2Pt
Method: DFT, PBE-GGA
State: relaxed

The structure in CIF format:
```
data_LiLa2Pt
_chemical_formula_sum 'Li1 La2 Pt1'
_space_group_name_H-M_alt 'P 1'
_space_group_IT_number 1
_space_group_name_Hall 'P 1'
_cell_length_a 5.023
_cell_length_b 5.023
_cell_length_c 5.023
_cell_angle_alpha 119.93
_cell_angle_beta 119.93
_cell_angle_gamma 90.12
loop_
_atom_site_label
_atom_site_type_symbol
_atom_site_fract_x
_atom_site_fract_y
_atom_site_fract_z
_atom_site_occupancy
Pt1 Pt 0.750 0.250 0.500 1
La1 La 0.250 0.750 0.500 1
Li1 Li 0.500 0.500 0.000 1
La2 La 0.000 0.000 0.000 1
```

Summary:
Symmetry   I-4m2, No. 119
Magnetization   0.0 μB per formula unit
E_form   -456 meV per atom
Calculated volume   22.428 A^3/atom
Density of states at the Fermi level   3.36 states/eV per cell


[3]
Material: LiLaPt3
Method: DFT, PBE-GGA
State: relaxed

The structure in CIF format:
```
data_LiLaPt3
_chemical_formula_sum 'Li1 La1 Pt3'
_space_group_name_H-M_alt 'P 1'
_space_group_IT_number 1
_space_group_name_Hall 'P 1'
_cell_length_a 5.361
_cell_length_b 5.361
_cell_length_c 5.361
_cell_angle_alpha 90.00
_cell_angle_beta 90.00
_cell_angle_gamma 90.00
loop_
_atom_site_label
_atom_site_type_symbol
_atom_site_fract_x
_atom_site_fract_y
_atom_site_fract_z
_atom_site_occupancy
Pt1 Pt 0.000 0.000 0.500 1
Pt2 Pt 0.000 0.500 0.000 1
Pt3 Pt 0.500 0.000 0.000 1
La1 La 0.000 0.000 0.000 1
Li1 Li 0.500 0.500 0.500 1
```

Summary:
Symmetry   Pm-3m, No. 221
Magnetization   0.0 μB per formula unit
E_form   622 meV per atom
Calculated volume   30.808 A^3/atom
Density of states at the Fermi level   6.24 states/eV per cell


[4]
Material: Li4La3Pt4
Method: DFT, PBE-GGA
State: relaxed

The structure in CIF format:
```
data_Li4La3Pt4
_chemical_formula_sum 'Li4 La3 Pt4'
_space_group_name_H-M_alt 'P 1'
_space_group_IT_number 1
_space_group_name_Hall 'P 1'
_cell_length_a 4.110
_cell_length_b 7.658
_cell_length_c 8.397
_cell_angle_alpha 117.13
_cell_angle_beta 104.17
_cell_angle_gamma 90.00
loop_
_atom_site_label
_atom_site_type_symbol
_atom_site_fract_x
_atom_site_fract_y
_atom_site_fract_z
_atom_site_occupancy
Li1 Li 0.676 0.866 0.353 1
La1 La 0.125 0.125 0.250 1
Li2 Li 0.324 0.134 0.647 1
La2 La 0.875 0.875 0.750 1
Pt1 Pt 0.500 0.198 0.000 1
La3 La 0.000 0.500 0.000 1
Pt2 Pt 0.500 0.802 0.000 1
Pt3 Pt 0.778 0.278 0.555 1
Li3 Li 0.676 0.487 0.353 1
Li4 Li 0.324 0.513 0.647 1
Pt4 Pt 0.222 0.722 0.445 1
```

Summary:
Symmetry   Immm, No. 71
Magnetization   0.0 μB per formula unit
E_form   -812 meV per atom
Calculated volume   20.560 A^3/atom
Density of states at the Fermi level   5.04 states/eV per cell


[5]
Material: Li2La2Pt
Method: DFT, PBE-GGA
State: relaxed

The structure in CIF format:
```
data_Li2La2Pt
_chemical_formula_sum 'Li2 La2 Pt1'
_space_group_name_H-M_alt 'P 1'
_space_group_IT_number 1
_space_group_name_Hall 'P 1'
_cell_length_a 4.599
_cell_length_b 5.094
_cell_length_c 6.132
_cell_angle_alpha 65.46
_cell_angle_beta 67.98
_cell_angle_gamma 90.00
loop_
_atom_site_label
_atom_site_type_symbol
_atom_site_fract_x
_atom_site_fract_y
_atom_site_fract_z
_atom_site_occupancy
Pt1 Pt 0.000 0.000 0.000 1
La1 La 0.683 0.183 0.634 1
La2 La 0.317 0.817 0.366 1
Li1 Li 0.240 0.500 0.000 1
Li2 Li 0.760 0.500 0.000 1
```

Summary:
Symmetry   Immm, No. 71
Magnetization   0.0 μB per formula unit
E_form   -427 meV per atom
Calculated volume   23.812 A^3/atom
Density of states at the Fermi level   3.69 states/eV per cell


[6]
Material: Li2LaPt
Method: DFT, PBE-GGA
State: relaxed

The structure in CIF format:
```
data_Li2LaPt
_chemical_formula_sum 'Li2 La1 Pt1'
_space_group_name_H-M_alt 'P 1'
_space_group_IT_number 1
_space_group_name_Hall 'P 1'
_cell_length_a 4.699
_cell_length_b 4.699
_cell_length_c 4.699
_cell_angle_alpha 60.00
_cell_angle_beta 60.00
_cell_angle_gamma 60.00
loop_
_atom_site_label
_atom_site_type_symbol
_atom_site_fract_x
_atom_site_fract_y
_atom_site_fract_z
_atom_site_occupancy
Pt1 Pt 0.500 0.500 0.500 1
Li1 Li 0.250 0.250 0.250 1
La1 La 0.000 0.000 0.000 1
Li2 Li 0.750 0.750 0.750 1
```

Summary:
Symmetry   Fm-3m, No. 225
Magnetization   0.0 μB per formula unit
E_form   -351 meV per atom
Calculated volume   18.346 A^3/atom
Density of states at the Fermi level   5.60 states/eV per cell


[7]
Material: Li2LaPt
Method: DFT, PBE-GGA
State: relaxed

The structure in CIF format:
```
data_Li2LaPt
_chemical_formula_sum 'Li2 La1 Pt1'
_space_group_name_H-M_alt 'P 1'
_space_group_IT_number 1
_space_group_name_Hall 'P 1'
_cell_length_a 5.019
_cell_length_b 5.019
_cell_length_c 3.391
_cell_angle_alpha 90.00
_cell_angle_beta 90.00
_cell_angle_gamma 112.32
loop_
_atom_site_label
_atom_site_type_symbol
_atom_site_fract_x
_atom_site_fract_y
_atom_site_fract_z
_atom_site_occupancy
Li1 Li 0.000 0.000 0.000 1
La1 La 0.000 0.500 0.500 1
Pt1 Pt 0.500 0.000 0.500 1
Li2 Li 0.500 0.500 0.000 1
```

Summary:
Symmetry   Cmmm, No. 65
Magnetization   0.0 μB per formula unit
E_form   -180 meV per atom
Calculated volume   19.753 A^3/atom
Density of states at the Fermi level   1.86 states/eV per cell


[8]
Material: Li2La2Pt
Method: DFT, PBE-GGA
State: relaxed

The structure in CIF format:
```
data_Li2La2Pt
_chemical_formula_sum 'Li4 La4 Pt2'
_space_group_name_H-M_alt 'P 1'
_space_group_IT_number 1
_space_group_name_Hall 'P 1'
_cell_length_a 6.807
_cell_length_b 6.807
_cell_length_c 4.884
_cell_angle_alpha 90.00
_cell_angle_beta 90.00
_cell_angle_gamma 90.00
loop_
_atom_site_label
_atom_site_type_symbol
_atom_site_fract_x
_atom_site_fract_y
_atom_site_fract_z
_atom_site_occupancy
La1 La 0.814 0.314 0.500 1
Pt1 Pt 0.500 0.500 0.000 1
La2 La 0.314 0.186 0.500 1
La3 La 0.686 0.814 0.500 1
Li1 Li 0.637 0.137 0.000 1
Li2 Li 0.137 0.363 0.000 1
Li3 Li 0.863 0.637 0.000 1
La4 La 0.186 0.686 0.500 1
Li4 Li 0.363 0.863 0.000 1
Pt2 Pt 0.000 0.000 0.000 1
```

Summary:
Symmetry   P4/mbm, No. 127
Magnetization   0.0 μB per formula unit
E_form   -242 meV per atom
Calculated volume   22.631 A^3/atom
Density of states at the Fermi level   7.25 states/eV per cell


[9]
Material: Li6LaPt4
Method: DFT, PBE-GGA
State: relaxed

The structure in CIF format:
```
data_Li6LaPt4
_chemical_formula_sum 'Li6 La1 Pt4'
_space_group_name_H-M_alt 'P 1'
_space_group_IT_number 1
_space_group_name_Hall 'P 1'
_cell_length_a 6.731
_cell_length_b 6.731
_cell_length_c 6.731
_cell_angle_alpha 86.44
_cell_angle_beta 122.07
_cell_angle_gamma 122.07
loop_
_atom_site_label
_atom_site_type_symbol
_atom_site_fract_x
_atom_site_fract_y
_atom_site_fract_z
_atom_site_occupancy
La1 La 0.000 0.000 0.000 1
Pt1 Pt 0.630 0.386 0.386 1
Pt2 Pt 0.000 0.244 0.614 1
Pt3 Pt 0.000 0.614 0.244 1
Li1 Li 0.000 0.511 0.885 1
Li2 Li 0.375 0.489 0.489 1
Li3 Li 0.625 0.115 0.115 1
Pt4 Pt 0.370 0.756 0.756 1
Li4 Li 0.500 0.500 0.000 1
Li5 Li 0.000 0.885 0.511 1
Li6 Li 0.500 0.000 0.500 1
```

Summary:
Symmetry   I-42m, No. 121
Magnetization   0.0 μB per formula unit
E_form   -436 meV per atom
Calculated volume   18.948 A^3/atom
Density of states at the Fermi level   3.84 states/eV per cell


[10]
Material: Li2LaPt2
Method: DFT, PBE-GGA
State: relaxed

The structure in CIF format:
```
data_Li2LaPt2
_chemical_formula_sum 'Li4 La2 Pt4'
_space_group_name_H-M_alt 'P 1'
_space_group_IT_number 1
_space_group_name_Hall 'P 1'
_cell_length_a 7.762
_cell_length_b 7.762
_cell_length_c 2.949
_cell_angle_alpha 90.00
_cell_angle_beta 90.00
_cell_angle_gamma 90.00
loop_
_atom_site_label
_atom_site_type_symbol
_atom_site_fract_x
_atom_site_fract_y
_atom_site_fract_z
_atom_site_occupancy
La1 La 0.500 0.500 0.000 1
Li1 Li 0.117 0.617 0.500 1
Pt1 Pt 0.176 0.324 0.000 1
Pt2 Pt 0.676 0.176 0.000 1
Li2 Li 0.617 0.883 0.500 1
Pt3 Pt 0.324 0.824 0.000 1
La2 La 0.000 0.000 0.000 1
Pt4 Pt 0.824 0.676 0.000 1
Li3 Li 0.883 0.383 0.500 1
Li4 Li 0.383 0.117 0.500 1
```

Summary:
Symmetry   P4/mbm, No. 127
Magnetization   0.0 μB per formula unit
E_form   -634 meV per atom
Calculated volume   17.767 A^3/atom
Density of states at the Fermi level   3.57 states/eV per cell


[11]
Material: LiLa3Pt8
Method: DFT, PBE-GGA
State: relaxed

The structure in CIF format:
```
data_LiLa3Pt8
_chemical_formula_sum 'Li1 La3 Pt8'
_space_group_name_H-M_alt 'P 1'
_space_group_IT_number 1
_space_group_name_Hall 'P 1'
_cell_length_a 5.496
_cell_length_b 5.496
_cell_length_c 9.530
_cell_angle_alpha 73.24
_cell_angle_beta 73.24
_cell_angle_gamma 60.00
loop_
_atom_site_label
_atom_site_type_symbol
_atom_site_fract_x
_atom_site_fract_y
_atom_site_fract_z
_atom_site_occupancy
Pt1 Pt 0.439 0.939 0.683 1
La1 La 0.507 0.507 0.479 1
Pt2 Pt 0.940 0.437 0.186 1
Pt3 Pt 0.437 0.940 0.186 1
Pt4 Pt 0.939 0.439 0.683 1
Pt5 Pt 0.437 0.437 0.186 1
Pt6 Pt 0.688 0.688 0.935 1
Pt7 Pt 0.939 0.939 0.683 1
Li1 Li 0.865 0.865 0.404 1
La2 La 0.991 0.991 0.027 1
Pt8 Pt 0.189 0.189 0.433 1
La3 La 0.378 0.378 0.866 1
```

Summary:
Symmetry   R3m, No. 160
Magnetization   0.0 μB per formula unit
E_form   -1009 meV per atom
Calculated volume   19.591 A^3/atom
Density of states at the Fermi level   9.25 states/eV per cell


[12]
Material: Li2LaPt2
Method: DFT, PBE-GGA
State: relaxed

The structure in CIF format:
```
data_Li2LaPt2
_chemical_formula_sum 'Li2 La1 Pt2'
_space_group_name_H-M_alt 'P 1'
_space_group_IT_number 1
_space_group_name_Hall 'P 1'
_cell_length_a 3.905
_cell_length_b 3.905
_cell_length_c 6.961
_cell_angle_alpha 73.71
_cell_angle_beta 73.71
_cell_angle_gamma 90.00
loop_
_atom_site_label
_atom_site_type_symbol
_atom_site_fract_x
_atom_site_fract_y
_atom_site_fract_z
_atom_site_occupancy
Pt1 Pt 0.391 0.391 0.218 1
Li1 Li 0.250 0.750 0.500 1
Li2 Li 0.750 0.250 0.500 1
Pt2 Pt 0.609 0.609 0.782 1
La1 La 0.000 0.000 0.000 1
```

Summary:
Symmetry   I4/mmm, No. 139
Magnetization   0.0 μB per formula unit
E_form   -789 meV per atom
Calculated volume   19.487 A^3/atom
Density of states at the Fermi level   2.02 states/eV per cell